(1)
VASP calculation (PBE-GGA) on an optimized crystal structure of AlTeH2C.

Output
- DOS(E_F): 1.154 states/eV/cell
- Space group: P4/mmm
- Final energy: -19.41 eV/cell

Cell lengths 3.4858, 4.4272, 3.4858 Å; angles 90.00, 90.00, 90.00 degrees
Sites, in units of the cell vectors:
H1 0.0000 0.0000 0.5000
H2 0.5000 0.0000 0.0000
C1 0.0000 0.5000 0.0000
Te1 0.5000 0.5000 0.5000
Al1 0.0000 0.0000 0.0000

=====

(2)
VASP calculation (PBE-GGA) on an optimized crystal structure of Na3Zr2CrS6.

Output
- E_form (uncorrected): -1278 meV per atom
- DOS(E_F): 8.184 states/eV/cell
- Space group: C2/m

Cell lengths 6.3782, 6.3782, 7.0501 Å; angles 98.68, 98.68, 120.05 degrees
Sites, in units of the cell vectors:
Na1 0.1689 0.8311 0.5000
Na2 0.8311 0.1689 0.5000
Na3 0.5000 0.5000 0.5000
Zr1 0.3339 0.6661 0.0000
Zr2 0.6661 0.3339 0.0000
Cr1 0.0000 0.0000 0.0000
S1 0.9277 0.6059 0.7827
S2 0.7516 0.7516 0.2176
S3 0.0723 0.3941 0.2173
S4 0.6059 0.9277 0.7827
S5 0.2484 0.2484 0.7824
S6 0.3941 0.0723 0.2173

=====

(3)
VASP calculation (PBE-GGA) on an optimized crystal structure of Zn5Tc.

Output
- DOS(E_F): 2.309 states/eV/cell
- Space group: Cm
- Distance to the lowest polymorph of the same formula: 33 meV per atom

Cell lengths 2.6832, 5.2448, 6.6390 Å; angles 75.33, 90.00, 75.18 degrees
Sites, in units of the cell vectors:
Tc1 0.0025 0.9949 0.0073
Zn1 0.6048 0.7904 0.7249
Zn2 0.3350 0.3300 0.6665
Zn3 0.9468 0.1064 0.3825
Zn4 0.6675 0.6651 0.3353
Zn5 0.2767 0.4466 0.0502

=====

(4)
VASP calculation (PBE-GGA) on an optimized crystal structure of Zr.

Output
- DOS(E_F): 16.184 states/eV/cell
- Space group: Cmcm
- Distance to the lowest polymorph of the same formula: 52 meV per atom

Cell lengths 3.8120, 4.9869, 14.4890 Å; angles 90.00, 90.00, 90.00 degrees
Sites, in units of the cell vectors:
Zr1 0.0000 0.1973 0.4160
Zr2 0.0000 0.8027 0.5840
Zr3 0.0000 0.1973 0.0840
Zr4 0.0000 0.8027 0.9160
Zr5 0.5000 0.6973 0.4160
Zr6 0.5000 0.3027 0.5840
Zr7 0.5000 0.6973 0.0840
Zr8 0.5000 0.3027 0.9160
Zr9 0.0000 0.6111 0.2500
Zr10 0.0000 0.3889 0.7500
Zr11 0.5000 0.1111 0.2500
Zr12 0.5000 0.8889 0.7500

=====

(5)
VASP calculation (PBE-GGA) on an optimized crystal structure of KHoTl.

Output
- DOS(E_F): 4.212 states/eV/cell
- Space group: I4/mmm
- Final energy: -16.74 eV/cell

Cell lengths 4.0048, 4.0048, 14.7399 Å; angles 97.81, 97.81, 90.00 degrees
Sites, in units of the cell vectors:
Ho1 0.2877 0.2877 0.5753
Ho2 0.7123 0.7123 0.4247
Tl1 0.1611 0.1611 0.3222
Tl2 0.8389 0.8389 0.6778
K1 0.5763 0.5763 0.1525
K2 0.4237 0.4237 0.8475

=====

(6)
VASP calculation (PBE-GGA) on an optimized crystal structure of NaTaCd.

Output
- DOS(E_F): 4.630 states/eV/cell
- Space group: C2/m
- Distance to the lowest polymorph of the same formula: 252 meV per atom

Cell lengths 16.2395, 8.5608, 8.5608 Å; angles 159.93, 158.90, 21.10 degrees
Sites, in units of the cell vectors:
Na1 0.5000 0.5000 0.5000
Na2 0.0000 0.5000 0.5000
Cd1 0.4740 0.1920 0.8080
Cd2 0.5260 0.8080 0.1920
Ta1 0.9869 0.1961 0.8039
Ta2 0.0131 0.8039 0.1961

=====

(7)
VASP calculation (PBE-GGA) on an optimized crystal structure of Pm3ErTh3.

Output
- DOS(E_F): 21.703 states/eV/cell
- Space group: P6_3/m
- Final energy: -81.29 eV/cell

Cell lengths 5.8718, 9.5786, 9.5786 Å; angles 120.00, 90.00, 90.00 degrees
Sites, in units of the cell vectors:
Pm1 0.7500 0.8012 0.7566
Pm2 0.7500 0.9554 0.1988
Pm3 0.2500 0.7566 0.9554
Pm4 0.7500 0.2434 0.0446
Pm5 0.2500 0.0446 0.8012
Pm6 0.2500 0.1988 0.2434
Er1 0.2500 0.3333 0.6667
Er2 0.7500 0.6667 0.3333
Th1 0.7500 0.5099 0.8954
Th2 0.7500 0.3854 0.4901
Th3 0.2500 0.8954 0.3854
Th4 0.7500 0.1046 0.6146
Th5 0.2500 0.6146 0.5099
Th6 0.2500 0.4901 0.1046

=====

(8)
VASP calculation (PBE-GGA) on an optimized crystal structure of AgTe2PRu.

Output
- E_form (uncorrected): 889 meV per atom
- DOS(E_F): 4.280 states/eV/cell
- Space group: P4/mmm

Cell lengths 5.0195, 5.1601, 5.0195 Å; angles 90.00, 90.00, 90.00 degrees
Sites, in units of the cell vectors:
Ru1 0.0000 0.0000 0.0000
Te1 0.0000 0.0000 0.5000
Te2 0.5000 0.0000 0.0000
Ag1 0.0000 0.5000 0.0000
P1 0.5000 0.5000 0.5000

=====

(9)
VASP calculation (PBE-GGA) on an optimized crystal structure of AlIrOs.

Output
- DOS(E_F): 2.771 states/eV/cell
- Space group: Imm2
- Distance to the lowest polymorph of the same formula: 124 meV per atom

Cell lengths 4.6844, 4.6844, 4.6844 Å; angles 145.42, 132.04, 60.46 degrees
Sites, in units of the cell vectors:
Ir1 0.3347 0.3347 0.0000
Os1 0.6648 0.6648 0.0000
Al1 0.0003 0.0003 0.0000

=====

(10)
VASP calculation (PBE-GGA) on an optimized crystal structure of Mn2CdSb.

Output
- E_form (uncorrected): 350 meV per atom
- DOS(E_F): 2.735 states/eV/cell
- Space group: C2/m
- Distance to the lowest polymorph of the same formula: 97 meV per atom

Cell lengths 4.7952, 4.7952, 5.4326 Å; angles 78.24, 78.24, 39.72 degrees
Sites, in units of the cell vectors:
Cd1 0.2500 0.2500 0.2500
Mn1 0.0032 0.0032 0.0082
Mn2 0.4968 0.4968 0.4918
Sb1 0.7500 0.7500 0.7500

=====

(11)
VASP calculation (PBE-GGA) on an optimized crystal structure of CsY3Cr.

Output
- DOS(E_F): 3.209 states/eV/cell
- Space group: Pm-3m
- Distance to the lowest polymorph of the same formula: 1001 meV per atom

Cell lengths 5.6075, 5.6075, 5.6075 Å; angles 90.00, 90.00, 90.00 degrees
Sites, in units of the cell vectors:
Cs1 0.0000 0.0000 0.0000
Y1 0.0000 0.5000 0.0000
Y2 0.0000 0.0000 0.5000
Y3 0.5000 0.0000 0.0000
Cr1 0.5000 0.5000 0.5000

=====

(12)
VASP calculation (PBE-GGA) on an optimized crystal structure of MgCo3.

Output
- DOS(E_F): 7.134 states/eV/cell
- Space group: Cmcm
- Final energy: -44.67 eV/cell

Cell lengths 5.0609, 5.0609, 4.0821 Å; angles 90.00, 90.00, 109.15 degrees
Sites, in units of the cell vectors:
Mg1 0.6227 0.3773 0.7500
Mg2 0.3773 0.6227 0.2500
Co1 0.1350 0.8650 0.7500
Co2 0.8650 0.1350 0.2500
Co3 0.6515 0.8948 0.7500
Co4 0.3485 0.1052 0.2500
Co5 0.8948 0.6515 0.2500
Co6 0.1052 0.3485 0.7500

=====

(13)
VASP calculation (PBE-GGA) on an optimized crystal structure of PrBeAl2Cu4.

Output
- DOS(E_F): 3.315 states/eV/cell
- Space group: R-3m
- Final energy: -34.15 eV/cell

Cell lengths 4.1038, 4.1038, 8.8653 Å; angles 76.62, 76.62, 60.00 degrees
Sites, in units of the cell vectors:
Pr1 0.0000 0.0000 0.0000
Be1 0.5000 0.5000 0.5000
Al1 0.7624 0.7624 0.7127
Al2 0.2376 0.2376 0.2873
Cu1 0.4114 0.4114 0.7658
Cu2 0.8620 0.8620 0.4139
Cu3 0.1380 0.1380 0.5861
Cu4 0.5886 0.5886 0.2342

=====

(14)
VASP calculation (PBE-GGA) on an optimized crystal structure of CdHg2Te.

Output
- E_form (uncorrected): -66 meV per atom
- DOS(E_F): 1.112 states/eV/cell
- Space group: P4/mmm
- Distance to the lowest polymorph of the same formula: 30 meV per atom

Cell lengths 4.3962, 4.3962, 6.0305 Å; angles 90.00, 90.00, 90.00 degrees
Sites, in units of the cell vectors:
Te1 0.0000 0.0000 0.6250
Hg1 0.0000 0.0000 0.1250
Hg2 0.5000 0.5000 0.1250
Cd1 0.5000 0.5000 0.6250